This record from Alexandria describes crystalline Ba2Cu3NiF12 at its relaxed geometry. The functional is PBE with a Hubbard U.

Calculated values
The energy comes out at -4.596 eV/atom.

Lattice parameters (Å, degrees): 7.1801 7.1801 7.1801 62.86 62.86 62.86
Element x y z (fractional)
Cu 0.0000 0.5000 0.0000
F 0.3338 0.3338 0.9447
F 0.9192 0.3265 0.9192
F 0.3265 0.9192 0.9192
Ba 0.3304 0.3304 0.3304
F 0.6662 0.0553 0.6662
Cu 0.5000 0.0000 0.0000
F 0.0553 0.6662 0.6662
F 0.0808 0.0808 0.6735
F 0.9192 0.9192 0.3265
F 0.3338 0.9447 0.3338
F 0.0808 0.6735 0.0808
Cu 0.0000 0.0000 0.5000
F 0.6662 0.6662 0.0553
F 0.9447 0.3338 0.3338
Ni 0.0000 0.0000 0.0000
Ba 0.6696 0.6696 0.6696
F 0.6735 0.0808 0.0808